Record 1
Computed, not measured: YAuOF2 after structural relaxation at the PBE level of DFT.

The calculated density comes out at 6.7 Mg/m³. For the distance to the lowest polymorph of the same formula, the calculation gives 1.109 eV/atom. For the density of states at the Fermi level, the calculation gives 1.979 states/eV per cell. The total energy comes out at -24.11 eV/f.u.

The space group is P4/mmm (No. 123) and the conventional cell measures 4.5776, 4.5776 and 4.0468 Å, with angles of 90.00, 90.00 and 90.00 degrees. The distinct sites, in fractional coordinates, are Y at (0.0000, 0.0000, 0.0000), Au at (0.5000, 0.5000, 0.5000), O at (0.5000, 0.5000, 0.0000) and F at (0.0000, 0.5000, 0.5000).


Record 2
Computed, not measured: Pr6Rh2Au after structural relaxation at the PBE level of DFT.

The calculated density comes out at 8.1 Mg/m³. For the density of states at the Fermi level, the calculation gives 34.409 states/eV per cell. The calculation puts the calculated formation energy at -4.5 eV per formula unit. The total energy comes out at -51.13 eV/f.u.

The space group is Immm (No. 71) and the conventional cell measures 9.5213, 10.1180 and 10.6721 Å, with angles of 90.00, 90.00 and 90.00 degrees. The distinct sites, in fractional coordinates, are Pr at (0.0000, 0.1957, 0.2284), Pr at (0.1973, 0.5000, 0.1675), Pr at (0.2095, 0.3239, 0.5000), Rh at (0.0000, 0.3409, 0.0000), Rh at (0.0000, 0.5000, 0.3656), Au at (0.0000, 0.0000, 0.0000) and Au at (0.0000, 0.0000, 0.5000).


Record 3
Computed, not measured: Mo3Pt after structural relaxation at the PBE level of DFT.

The calculated density comes out at 12.7 Mg/m³. For the distance to the lowest polymorph of the same formula, the calculation gives 0.116 eV/atom. For the density of states at the Fermi level, the calculation gives 3.222 states/eV per cell. The calculation puts the calculated formation energy at 0.0 eV per formula unit. The total energy comes out at -38.58 eV/f.u.

The space group is P4/mmm (No. 123) and the conventional cell measures 2.6917, 2.6917 and 8.7462 Å, with angles of 90.00, 90.00 and 90.00 degrees. The distinct sites, in fractional coordinates, are Mo at (0.0000, 0.0000, 0.0000), Mo at (0.5000, 0.5000, 0.2600) and Pt at (0.0000, 0.0000, 0.5000).


Record 4
Computed, not measured: Zr4MoAu3 after structural relaxation at the PBE level of DFT.

The calculated density comes out at 11.0 Mg/m³. For the density of states at the Fermi level, the calculation gives 8.218 states/eV per cell. The calculation puts the calculated formation energy at -3.2 eV per formula unit. The total energy comes out at -58.03 eV/f.u.

The space group is P4/mmm (No. 123) and the conventional cell measures 3.3583, 3.3583 and 14.1065 Å, with angles of 90.00, 90.00 and 90.00 degrees. The distinct sites, in fractional coordinates, are Zr at (0.0000, 0.0000, 0.1130), Zr at (0.0000, 0.0000, 0.3705), Mo at (0.5000, 0.5000, 0.0000), Au at (0.5000, 0.5000, 0.2403) and Au at (0.5000, 0.5000, 0.5000).


Record 5
Computed, not measured: PrGdN after structural relaxation at the PBE level of DFT.

The calculated density comes out at 5.7 Mg/m³. For the distance to the lowest polymorph of the same formula, the calculation gives 1.065 eV/atom. For the density of states at the Fermi level, the calculation gives 4.673 states/eV per cell. The total energy comes out at -26.73 eV/f.u.

The space group is I4mm (No. 107) and the conventional cell measures 4.8240, 4.8240 and 7.8654 Å, with angles of 90.00, 90.00 and 90.00 degrees. The distinct sites, in fractional coordinates, are Pr at (0.0000, 0.0000, 0.0000), Gd at (0.0000, 0.0000, 0.5321) and N at (0.0000, 0.0000, 0.2739).


Record 6
Computed, not measured: PuRe2B6 after structural relaxation at the PBE level of DFT.

The calculated density comes out at 13.1 Mg/m³. For the distance to the lowest polymorph of the same formula, the calculation gives 0.243 eV/atom. For the density of states at the Fermi level, the calculation gives 6.437 states/eV per cell. The calculation puts the calculated formation energy at -1.3 eV per formula unit. The total energy comes out at -80.56 eV/f.u.

The space group is P6/mmm (No. 191) and the conventional cell measures 5.3524, 5.3524 and 3.4763 Å, with angles of 90.00, 90.00 and 120.00 degrees. The distinct sites, in fractional coordinates, are Pu at (0.0000, 0.0000, 0.0000), Re at (0.3333, 0.6667, 0.0000) and B at (0.0000, 0.3401, 0.5000).